VASP calculation (PBE-GGA) on Ho6Si2Se3S after structural relaxation.

Results
* V: 23.70 Å³ per atom
* size of the total moment: 0.0000 μB/atom
* E_form (uncorrected): -1519.6 meV/atom

abc: 17.750 4.050 8.153
angles: 90.00 103.96 90.00
Space group C2/m (No. 12)
One atom of each set of equivalent atoms:
Ho 0.006 0.000 0.243 [4 per cell]
Ho 0.164 0.500 0.095 [4 per cell]
Ho 0.169 0.500 0.575 [4 per cell]
Si 0.166 0.000 0.331 [4 per cell]
Se 0.000 0.500 0.500 [2 per cell]
Se 0.165 0.000 0.835 [4 per cell]
S 0.000 0.500 0.000 [2 per cell]



VASP calculation (PBE-GGA) on Ho6Si2SeS3 after structural relaxation.

Results
* V: 22.69 Å³ per atom
* size of the total moment: 0.0000 μB/atom
* E_form (uncorrected): -1570.8 meV/atom

abc: 17.406 4.003 8.016
angles: 90.00 102.77 90.00
Space group C2/m (No. 12)
One atom of each set of equivalent atoms:
Ho 0.004 0.000 0.263 [4 per cell]
Ho 0.167 0.500 0.583 [4 per cell]
Ho 0.170 0.500 0.092 [4 per cell]
Si 0.167 0.000 0.333 [4 per cell]
Se 0.000 0.500 0.000 [2 per cell]
S 0.000 0.500 0.500 [2 per cell]
S 0.164 0.000 0.836 [4 per cell]



VASP calculation (PBE-GGA) on Ho6SiSe3S2 after structural relaxation.

Results
* V: 22.94 Å³ per atom
* size of the total moment: 0.0000 μB/atom
* E_form (uncorrected): -1713.8 meV/atom

abc: 6.908 11.959 7.050
angles: 90.00 108.99 90.00
Space group C2/m (No. 12)
One atom of each set of equivalent atoms:
Ho 0.242 0.166 0.229 [8 per cell]
Ho 0.245 0.500 0.229 [4 per cell]
Si 0.000 0.000 0.000 [2 per cell]
Se 0.000 0.167 0.500 [4 per cell]
Se 0.000 0.500 0.500 [2 per cell]
S 0.000 0.333 0.000 [4 per cell]



VASP calculation (PBE-GGA) on Ho8SiSe3S3 after structural relaxation.

Results
* V: 23.66 Å³ per atom
* size of the total moment: 0.0000 μB/atom
* E_form (uncorrected): -1617.3 meV/atom

abc: 7.9012 7.9012 19.6964
angles: 90.00 90.00 120.00
Space group R-3m (No. 166, hexagonal axes)
One atom of each set of equivalent atoms:
Ho 0.0000 0.0000 0.2422 [6 per cell]
Ho 0.0029 0.5014 0.7550 [18 per cell]
Si 0.0000 0.0000 0.5000 [3 per cell]
Se 0.0000 0.5000 0.0000 [9 per cell]
S 0.0000 0.5000 0.5000 [9 per cell]



VASP calculation (PBE-GGA) on Ho4SiSeS2 after structural relaxation.

Results
* V: 22.55 Å³ per atom
* size of the total moment: 0.0000 μB/atom
* E_form (uncorrected): -1659.1 meV/atom

abc: 6.878 3.990 6.972
angles: 90.00 109.49 90.00
Space group P2/m (No. 10)
One atom of each set of equivalent atoms:
Ho 0.242 0.000 0.235 [2 per cell]
Ho 0.250 0.500 0.758 [2 per cell]
Si 0.500 0.000 0.000 [1 per cell]
Se 0.500 0.500 0.500 [1 per cell]
S 0.000 0.000 0.500 [1 per cell]
S 0.000 0.500 0.000 [1 per cell]



VASP calculation (PBE-GGA) on Ho8SiSe3S4 after structural relaxation.

Results
* V: 22.35 Å³ per atom
* size of the total moment: 0.0000 μB/atom
* E_form (uncorrected): -1766.8 meV/atom

abc: 7.9663 7.9663 19.5190
angles: 90.00 90.00 120.00
Space group R-3m (No. 166, hexagonal axes)
One atom of each set of equivalent atoms:
Ho 0.0000 0.0000 0.2417 [6 per cell]
Ho 0.0130 0.5065 0.7536 [18 per cell]
Si 0.0000 0.0000 0.0000 [3 per cell]
Se 0.0000 0.5000 0.0000 [9 per cell]
S 0.0000 0.0000 0.5000 [3 per cell]
S 0.0000 0.5000 0.5000 [9 per cell]



VASP calculation (PBE-GGA) on SmHoSeS after structural relaxation.

Results
* V: 23.37 Å³ per atom
* size of the total moment: 0.0000 μB/atom
* E_form (uncorrected): -1885.1 meV/atom

abc: 3.9270 3.9270 20.9978
angles: 90.00 90.00 120.00
Space group R3m (No. 160, hexagonal axes)
One atom of each set of equivalent atoms:
Sm 0.0000 0.0000 0.0000 [3 per cell]
Ho 0.0000 0.0000 0.1846 [3 per cell]
Se 0.0000 0.0000 0.4275 [3 per cell]
S 0.0000 0.0000 0.5907 [3 per cell]



VASP calculation (PBE-GGA) on TbHoSeS after structural relaxation.

Results
* V: 22.68 Å³ per atom
* size of the total moment: 0.0000 μB/atom
* E_form (uncorrected): -1894.2 meV/atom

abc: 3.9032 3.9032 20.6228
angles: 90.00 90.00 120.00
Space group R3m (No. 160, hexagonal axes)
One atom of each set of equivalent atoms:
Tb 0.0000 0.0000 0.0000 [3 per cell]
Ho 0.0000 0.0000 0.8152 [3 per cell]
Se 0.0000 0.0000 0.2390 [3 per cell]
S 0.0000 0.0000 0.4108 [3 per cell]